# MgCo2Ru2

Crystalline MgCo2Ru2 at its relaxed geometry (PBE, Alexandria via LeMat-Bulk). Values from VASP.

Calculated values
Raw total energy, eV for the cell shown: -65.41
Excess energy over the best structure of this formula in the dataset, meV per atom: 96.9
SG: I4/mmm (139)

Structure (Quantum ESPRESSO input):
```
&SYSTEM
  ibrav = 0, nat = 10, ntyp = 3
/
ATOMIC_SPECIES
Mg 24.30 Mg.upf
Co 58.93 Co.upf
Ru 101.07 Ru.upf
ATOMIC_POSITIONS crystal
Mg 0.0000 0.0000 0.0000
Mg 0.5000 0.5000 0.5000
Co 0.0000 0.5000 0.2500
Co 0.0000 0.5000 0.7500
Co 0.5000 0.0000 0.2500
Co 0.5000 0.0000 0.7500
Ru 0.0000 0.0000 0.3903
Ru 0.0000 0.0000 0.6097
Ru 0.5000 0.5000 0.1097
Ru 0.5000 0.5000 0.8903
CELL_PARAMETERS angstrom
3.7774 0.0000 0.0000
0.0000 3.7774 0.0000
0.0000 0.0000 10.5369
```